22
Lattice="1.5408 -4.9861 0.0000 1.5408 4.9861 0.0000 0.0000 0.0000 14.9818" Properties=species:S:1:pos:R:3 comment="CaCo4O6 (PBE+U, relaxed)" density_g_cm3=5.364 dft_energy_ev_per_atom=-6.039 pbc="T T T"
Ca 1.5408 3.4077 11.2363
Ca 1.5408 -3.4077 3.7454
Co 1.5408 4.0819 1.9998
Co 1.5408 4.0819 5.4911
Co 1.5408 1.3760 0.6204
Co 1.5408 1.3760 6.8705
Co 1.5408 -1.3760 8.1113
Co 1.5408 -1.3760 14.3614
Co 1.5408 -4.0819 9.4907
Co 1.5408 -4.0819 12.9820
O 0.0000 0.0000 0.0000
O 0.0000 0.0000 7.4909
O 1.5408 3.3437 3.7454
O 1.5408 2.2077 8.6795
O 1.5408 2.2077 13.7932
O 1.5408 0.4537 2.3046
O 1.5408 0.4537 5.1862
O 1.5408 -0.4537 9.7955
O 1.5408 -0.4537 12.6771
O 1.5408 -2.2077 1.1886
O 1.5408 -2.2077 6.3023
O 1.5408 -3.3437 11.2363